1 | This record from the Alexandria database describes a relaxed structure of Pr2HoSe4. The functional is PBE.

Cell: 7.318 7.318 14.160 Å, 90.00 90.00 148.02°
Element x y z (fractional)
Pr  0.130  0.870  0.572
Pr  0.130  0.870  0.928
Pr  0.870  0.130  0.072
Pr  0.870  0.130  0.428
Ho  0.372  0.628  0.750
Ho  0.628  0.372  0.250
Se  0.017  0.983  0.750
Se  0.218  0.782  0.127
Se  0.218  0.782  0.373
Se  0.500  0.500  0.000
Se  0.500  0.500  0.500
Se  0.782  0.218  0.627
Se  0.782  0.218  0.873
Se  0.983  0.017  0.250

Computed properties:
N(E_F) = 4.15 states/eV/cell
volume = 402 Å³ per cell
SG = Cmcm (63)

2 | This record from the Alexandria database describes a relaxed structure of Pr2HoSe4. The functional is PBE.

Cell: 8.312 8.312 8.312 Å, 119.90 118.89 91.05°
Element x y z (fractional)
Pr  0.000  0.000  0.000
Pr  0.500  0.000  0.000
Pr  0.500  0.000  0.500
Pr  0.500  0.500  0.500
Ho  0.000  0.000  0.500
Ho  0.000  0.500  0.000
Se  0.231  0.742  0.489
Se  0.245  0.247  0.502
Se  0.245  0.742  0.998
Se  0.248  0.258  0.989
Se  0.752  0.742  0.011
Se  0.755  0.258  0.002
Se  0.755  0.753  0.498
Se  0.769  0.258  0.511

Computed properties:
N(E_F) = 4.28 states/eV/cell
volume = 410 Å³ per cell
SG = Imma (74)

Relative energies, in kJ/mol of atoms, with the most stable structure set to zero: 1 4.0; 2 0.0.

1 | This record from the Alexandria database describes a relaxed structure of PrHoSi. The functional is PBE.

Cell: 4.458 4.458 16.273 Å, 90.00 90.00 90.00°
Element x y z (fractional)
Pr  0.000  0.000  0.180
Pr  0.000  0.000  0.820
Pr  0.500  0.500  0.320
Pr  0.500  0.500  0.680
Ho  0.000  0.500  0.000
Ho  0.000  0.500  0.500
Ho  0.500  0.000  0.000
Ho  0.500  0.000  0.500
Si  0.000  0.000  0.372
Si  0.000  0.000  0.628
Si  0.500  0.500  0.128
Si  0.500  0.500  0.872

Computed properties:
N(E_F) = 11.18 states/eV/cell
volume = 323 Å³ per cell
SG = I4/mmm (139)

2 | This record from the Alexandria database describes a relaxed structure of PrHoSi. The functional is PBE.

Cell: 4.710 4.710 4.276 Å, 90.00 90.00 120.00°
Element x y z (fractional)
Pr  0.000  0.000  0.000
Ho  0.667  0.333  0.471
Si  0.333  0.667  0.624

Computed properties:
N(E_F) = 1.42 states/eV/cell
volume = 82 Å³ per cell
SG = P3m1 (156)

Relative energies, in kJ/mol of atoms, with the most stable structure set to zero: 1 0.0; 2 20.5.